{"formula": "SiRh2N", "functional": "meta-GGA SCAN", "state": "single point on PBEsol structure", "lattice": [[0.0000, 2.8377, 2.8377], [2.8377, 0.0000, 2.8377], [2.8377, 2.8377, 0.0000]], "species": ["Si", "Rh", "Rh", "N"], "fractional_positions": [[0.0000, 0.0000, 0.0000], [0.2500, 0.2500, 0.2500], [0.7500, 0.7500, 0.7500], [0.5000, 0.5000, 0.5000]], "formation_energy_uncorrected_ev_per_atom": 0.426, "volume_a3_per_atom": 11.42, "mass_density_g_cm3": 9.0, "sg": "No. 225"}

{"formula": "Li3CdHg", "functional": "meta-GGA SCAN", "state": "single point on PBEsol structure", "lattice": [[4.9034, 0.0000, 0.0000], [0.0000, 4.9034, 0.0000], [0.0000, 0.0000, 4.9034]], "species": ["Li", "Li", "Li", "Cd", "Hg"], "fractional_positions": [[0.0000, 0.0000, 0.5000], [0.0000, 0.5000, 0.0000], [0.5000, 0.0000, 0.0000], [0.5000, 0.5000, 0.5000], [0.0000, 0.0000, 0.0000]], "volume_a3_per_atom": 23.58, "formation_enthalpy_0k_ev_per_fu": -0.06, "mass_density_g_cm3": 4.7, "sg": "No. 221"}

{"formula": "YFeBr2", "functional": "meta-GGA SCAN", "state": "single point on PBEsol structure", "lattice": [[-1.9913, 1.9913, 5.2098], [1.9913, -1.9913, 5.2098], [1.9913, 1.9913, -5.2098]], "species": ["Y", "Fe", "Br", "Br"], "fractional_positions": [[0.0000, 0.0000, 0.0000], [0.2500, 0.7500, 0.5000], [0.5000, 0.5000, 0.0000], [0.7500, 0.2500, 0.5000]], "formation_energy_uncorrected_ev_per_atom": -0.313, "volume_a3_per_atom": 20.66, "e_above_lowest_polymorph_ev_per_fu": 1.24, "mass_density_g_cm3": 6.1, "sg": "No. 119"}

{"formula": "AlHg2F", "functional": "meta-GGA SCAN", "state": "single point on PBEsol structure", "lattice": [[0.0000, 3.3094, 3.3094], [3.3094, 0.0000, 3.3094], [3.3094, 3.3094, 0.0000]], "species": ["Al", "Hg", "Hg", "F"], "fractional_positions": [[0.0000, 0.0000, 0.0000], [0.2500, 0.2500, 0.2500], [0.7500, 0.7500, 0.7500], [0.5000, 0.5000, 0.5000]], "formation_energy_uncorrected_ev_per_atom": -0.467, "volume_a3_per_atom": 18.12, "mass_density_g_cm3": 10.2, "sg": "No. 225"}

{"formula": "FeTc5", "functional": "meta-GGA SCAN", "state": "single point on PBEsol structure", "lattice": [[2.6664, 0.0000, 0.0000], [0.0000, 2.6664, 0.0000], [0.0000, 0.0000, 11.2407]], "species": ["Fe", "Tc", "Tc", "Tc", "Tc", "Tc"], "fractional_positions": [[0.0000, 0.0000, 0.0000], [0.0000, 0.0000, 0.3287], [0.0000, 0.0000, 0.6713], [0.5000, 0.5000, 0.1514], [0.5000, 0.5000, 0.5000], [0.5000, 0.5000, 0.8486]], "volume_a3_per_atom": 13.32, "e_above_lowest_polymorph_ev_per_fu": 0.21, "formation_enthalpy_0k_ev_per_fu": 0.70, "mass_density_g_cm3": 11.3, "sg": "No. 123"}

{"formula": "AlZnFe2", "functional": "meta-GGA SCAN", "state": "single point on PBEsol structure", "lattice": [[-1.8084, 1.8084, 3.6957], [1.8084, -1.8084, 3.6957], [1.8084, 1.8084, -3.6957]], "species": ["Al", "Zn", "Fe", "Fe"], "fractional_positions": [[0.0000, 0.0000, 0.0000], [0.5000, 0.5000, 0.0000], [0.2500, 0.7500, 0.5000], [0.7500, 0.2500, 0.5000]], "volume_a3_per_atom": 12.09, "formation_enthalpy_0k_ev_per_fu": -0.81, "mass_density_g_cm3": 7.0, "sg": "No. 139"}

{"formula": "ZrMnPb2", "functional": "meta-GGA SCAN", "state": "single point on PBEsol structure", "lattice": [[1.6417, 0.9478, 9.4811], [-1.6417, 0.9478, 9.4811], [0.0000, -1.8957, 9.4811]], "species": ["Zr", "Mn", "Pb", "Pb"], "fractional_positions": [[0.0000, 0.0000, 0.0000], [0.5000, 0.5000, 0.5000], [0.2450, 0.2450, 0.2450], [0.7550, 0.7550, 0.7550]], "volume_a3_per_atom": 22.13, "e_above_lowest_polymorph_ev_per_fu": 0.63, "formation_enthalpy_0k_ev_per_fu": 0.00, "mass_density_g_cm3": 10.5, "sg": "No. 166"}

{"formula": "YSiTe2", "functional": "meta-GGA SCAN", "state": "single point on PBEsol structure", "lattice": [[2.1306, 1.2301, 7.1940], [-2.1306, 1.2301, 7.1940], [0.0000, -2.4602, 7.1940]], "species": ["Y", "Si", "Te", "Te"], "fractional_positions": [[0.0000, 0.0000, 0.0000], [0.2535, 0.2535, 0.2535], [0.5405, 0.5405, 0.5405], [0.7464, 0.7464, 0.7464]], "formation_energy_uncorrected_ev_per_atom": -0.473, "volume_a3_per_atom": 28.28, "mass_density_g_cm3": 5.5, "sg": "No. 160"}